Material: SmTm7Pb2
Method: DFT, PBE
State: optimized geometry

abc: 5.368 8.977 8.977
angles: 119.17 90.00 90.00
Element x y z (fractional)
Sm1 0.000 0.000 0.000
Tm1 0.000 0.777 0.223
Tm2 0.000 0.223 0.777
Tm3 0.500 0.060 0.302
Tm4 0.500 0.940 0.698
Tm5 0.500 0.302 0.060
Tm6 0.500 0.698 0.940
Tm7 0.500 0.500 0.500
Pb1 0.500 0.694 0.306
Pb2 0.500 0.306 0.694

For the calculated total energy, the calculation gives -0.29832 Ry per atom. Its magnetic moment is 0.000 μB/cell. The value obtained for the formation energy is 0.28 eV/atom. For the density of states at the Fermi level, the calculation gives 15.37 states/eV per cell.